# 1
# CaTa2Cr, single point on PBEsol structure, DFT SCAN
data_CaTa2Cr
_symmetry_space_group_name_H-M 'R -3 m'
_symmetry_Int_Tables_number 166
_symmetry_space_group_name_Hall '-R 3 2"'
_cell_length_a 3.0573
_cell_length_b 3.0573
_cell_length_c 27.9372
_cell_angle_alpha 90.00
_cell_angle_beta 90.00
_cell_angle_gamma 120.00
loop_
_atom_site_label
_atom_site_fract_x
_atom_site_fract_y
_atom_site_fract_z
Ca1 0.0000 0.0000 0.0000
Ta1 0.0000 0.0000 0.2323
Cr1 0.0000 0.0000 0.5000
# Theoretical density   10.000 Mg/m³
# Energy   -475.685 eV per cell

# 2
# La2Be2W, single point on PBEsol structure, DFT SCAN
data_La2Be2W
_symmetry_space_group_name_H-M 'I 4/m m m'
_symmetry_Int_Tables_number 139
_symmetry_space_group_name_Hall '-I 4 2'
_cell_length_a 3.9024
_cell_length_b 3.9024
_cell_length_c 12.1000
_cell_angle_alpha 90.00
_cell_angle_beta 90.00
_cell_angle_gamma 90.00
loop_
_atom_site_label
_atom_site_fract_x
_atom_site_fract_y
_atom_site_fract_z
La1 0.0000 0.5000 0.2500
Be1 0.0000 0.0000 0.0779
W1 0.0000 0.0000 0.5000
# Theoretical density   8.645 Mg/m³
# Energy   -317.579 eV per cell

# 3
# TiBeIO2, single point on PBEsol structure, DFT SCAN
data_TiBeIO2
_symmetry_space_group_name_H-M 'P 4/m m m'
_symmetry_Int_Tables_number 123
_symmetry_space_group_name_Hall '-P 4 2'
_cell_length_a 3.7666
_cell_length_b 3.7666
_cell_length_c 5.7613
_cell_angle_alpha 90.00
_cell_angle_beta 90.00
_cell_angle_gamma 90.00
loop_
_atom_site_label
_atom_site_fract_x
_atom_site_fract_y
_atom_site_fract_z
Ti1 0.0000 0.0000 0.0000
Be1 0.5000 0.5000 0.5000
I1 0.0000 0.0000 0.5000
O1 0.0000 0.5000 0.0000
# E_form (uncorrected)   -1207 meV per atom
# Theoretical density   4.384 Mg/m³